Record 1
Computed, not measured: an optimized crystal structure of PmGe2As at the PBE-GGA level of DFT.

For the density of states at the Fermi level, the calculation gives 1.86 states/eV/f.u. The formation energy is -44.5 kJ/mol of atoms.

Cell lengths 4.3083, 4.3083, 4.5906 Å; angles 90.00, 90.00, 90.00 degrees
Closest atoms and distances in Å follow each position.
Atoms (fractional coordinates):
Pm1 0.0000 0.0000 0.0000  4 As 3.05, 8 Ge 3.15
Ge1 0.0000 0.5000 0.5000  4 Ge 3.05, 4 As 3.15, 4 Pm 3.15
Ge2 0.5000 0.0000 0.5000  4 Ge 3.05, 4 As 3.15, 4 Pm 3.15
As1 0.5000 0.5000 0.0000  4 Pm 3.05, 8 Ge 3.15



Record 2
Computed, not measured: an optimized crystal structure of PmGe2As at the PBE-GGA level of DFT.

For the density of states at the Fermi level, the calculation gives 1.32 states/eV/f.u. The formation energy is -24.0 kJ/mol of atoms.

Cell lengths 4.6653, 4.6653, 14.6874 Å; angles 90.00, 90.00, 120.00 degrees
Closest atoms and distances in Å follow each position.
Atoms (fractional coordinates):
Pm1 0.0000 0.0000 0.0000  8 Ge 3.07-3.26
Pm2 0.3333 0.6667 0.6667  8 Ge 3.07-3.26
Pm3 0.6667 0.3333 0.3333  8 Ge 3.07-3.26
Ge1 0.0000 0.0000 0.2089  3 As 2.76, 3 Ge 2.97, 1 Pm 3.07
Ge2 0.0000 0.0000 0.7911  3 As 2.76, 3 Ge 2.97, 1 Pm 3.07
Ge3 0.3333 0.6667 0.4578  3 As 2.76, 3 Ge 2.97, 1 Pm 3.07
Ge4 0.3333 0.6667 0.8755  3 As 2.76, 3 Ge 2.97, 1 Pm 3.07
Ge5 0.6667 0.3333 0.1245  3 As 2.76, 3 Ge 2.97, 1 Pm 3.07
Ge6 0.6667 0.3333 0.5422  3 As 2.76, 3 Ge 2.97, 1 Pm 3.07
As1 0.0000 0.0000 0.5000  6 Ge 2.76
As2 0.3333 0.6667 0.1667  6 Ge 2.76
As3 0.6667 0.3333 0.8333  6 Ge 2.76



Record 3
Computed, not measured: an optimized crystal structure of Pm3GeAs at the PBE-GGA level of DFT.

For the density of states at the Fermi level, the calculation gives 3.24 states/eV/f.u. The formation energy is -38.9 kJ/mol of atoms.

Cell lengths 5.4850, 5.4850, 5.4850 Å; angles 90.00, 90.00, 90.00 degrees
Closest atoms and distances in Å follow each position.
Atoms (fractional coordinates):
Pm1 0.0000 0.0000 0.5000  2 As 2.74
Pm2 0.0000 0.5000 0.0000  2 As 2.74
Pm3 0.5000 0.0000 0.0000  2 As 2.74
Ge1 0.5000 0.5000 0.5000  12 Pm 3.88
As1 0.0000 0.0000 0.0000  6 Pm 2.74



Record 4
Computed, not measured: an optimized crystal structure of Pm3Ge12As5 at the PBE-GGA level of DFT.

For the density of states at the Fermi level, the calculation gives 14.20 states/eV/f.u. The formation energy is 13.6 kJ/mol of atoms.

Cell lengths 13.9073, 13.9073, 13.9073 Å; angles 109.47, 109.47, 109.47 degrees
Closest atoms and distances in Å follow each position.
Atoms (fractional coordinates):
Pm1 0.1250 0.2500 0.3750  8 Ge 2.90-3.20
Pm2 0.1250 0.3750 0.7500  8 Ge 2.90-3.20
Pm3 0.2500 0.3750 0.1250  8 Ge 2.90-3.20
Pm4 0.2500 0.8750 0.6250  8 Ge 2.90-3.20
Pm5 0.3750 0.1250 0.2500  8 Ge 2.90-3.20
Pm6 0.3750 0.7500 0.1250  8 Ge 2.90-3.20
Pm7 0.6250 0.2500 0.8750  8 Ge 2.90-3.20
Pm8 0.6250 0.8750 0.7500  8 Ge 2.90-3.20
Pm9 0.7500 0.1250 0.3750  8 Ge 2.90-3.20
Pm10 0.7500 0.6250 0.8750  8 Ge 2.90-3.20
Pm11 0.8750 0.6250 0.2500  8 Ge 2.90-3.20
Pm12 0.8750 0.7500 0.6250  8 Ge 2.90-3.20
Ge1 0.0438 0.2226 0.1191  2 As 2.52-2.71
Ge2 0.0438 0.3212 0.9247  2 As 2.52-2.71
Ge3 0.0753 0.6191 0.3965  2 As 2.52-2.71
Ge4 0.0753 0.9562 0.6788  2 As 2.52-2.71
Ge5 0.1035 0.7226 0.6788  2 As 2.52-2.71
Ge6 0.1035 0.8809 0.4247  2 As 2.52-2.71
Ge7 0.1191 0.0438 0.2226  2 As 2.52-2.71
Ge8 0.1191 0.5753 0.8965  2 As 2.52-2.71
Ge9 0.1788 0.2226 0.6035  2 As 2.52-2.71
Ge10 0.1788 0.4562 0.5753  2 As 2.52-2.71
Ge11 0.2226 0.1191 0.0438  2 As 2.52-2.71
Ge12 0.2226 0.6035 0.1788  2 As 2.52-2.71
Ge13 0.2774 0.3212 0.8965  2 As 2.52-2.71
Ge14 0.2774 0.4562 0.3809  2 As 2.52-2.71
Ge15 0.3212 0.8965 0.2774  2 As 2.52-2.71
Ge16 0.3212 0.9247 0.0438  2 As 2.52-2.71
Ge17 0.3809 0.2774 0.4562  2 As 2.52-2.71
Ge18 0.3809 0.6035 0.9247  2 As 2.52-2.71
Ge19 0.3965 0.0753 0.6191  2 As 2.52-2.71
Ge20 0.3965 0.8212 0.7774  2 As 2.52-2.71
Ge21 0.4247 0.1035 0.8809  2 As 2.52-2.71
Ge22 0.4247 0.8212 0.5438  2 As 2.52-2.71
Ge23 0.4562 0.3809 0.2774  2 As 2.52-2.71
Ge24 0.4562 0.5753 0.1788  2 As 2.52-2.71
Ge25 0.5438 0.4247 0.8212  2 As 2.52-2.71
Ge26 0.5438 0.6191 0.7226  2 As 2.52-2.71
Ge27 0.5753 0.1788 0.4562  2 As 2.52-2.71
Ge28 0.5753 0.8965 0.1191  2 As 2.52-2.71
Ge29 0.6035 0.1788 0.2226  2 As 2.52-2.71
Ge30 0.6035 0.9247 0.3809  2 As 2.52-2.71
Ge31 0.6191 0.3965 0.0753  2 As 2.52-2.71
Ge32 0.6191 0.7226 0.5438  2 As 2.52-2.71
Ge33 0.6788 0.0753 0.9562  2 As 2.52-2.71
Ge34 0.6788 0.1035 0.7226  2 As 2.52-2.71
Ge35 0.7226 0.5438 0.6191  2 As 2.52-2.71
Ge36 0.7226 0.6788 0.1035  2 As 2.52-2.71
Ge37 0.7774 0.3965 0.8212  2 As 2.52-2.71
Ge38 0.7774 0.8809 0.9562  2 As 2.52-2.71
Ge39 0.8212 0.5438 0.4247  2 As 2.52-2.71
Ge40 0.8212 0.7774 0.3965  2 As 2.52-2.71
Ge41 0.8809 0.4247 0.1035  2 As 2.52-2.71
Ge42 0.8809 0.9562 0.7774  2 As 2.52-2.71
Ge43 0.8965 0.1191 0.5753  2 As 2.52-2.71
Ge44 0.8965 0.2774 0.3212  2 As 2.52-2.71
Ge45 0.9247 0.0438 0.3212  2 As 2.52-2.71
Ge46 0.9247 0.3809 0.6035  2 As 2.52-2.71
Ge47 0.9562 0.6788 0.0753  2 As 2.52-2.71
Ge48 0.9562 0.7774 0.8809  2 As 2.52-2.71
As1 0.0000 0.0000 0.0000  6 Ge 2.71
As2 0.0000 0.0000 0.5000  6 Ge 2.71
As3 0.0000 0.5000 0.0000  6 Ge 2.71
As4 0.0000 0.5000 0.5000  6 Ge 2.71
As5 0.1250 0.7500 0.8750  4 Ge 2.52
As6 0.1250 0.8750 0.2500  4 Ge 2.52
As7 0.2500 0.1250 0.8750  4 Ge 2.52
As8 0.2500 0.6250 0.3750  4 Ge 2.52
As9 0.3750 0.2500 0.6250  4 Ge 2.52
As10 0.3750 0.6250 0.7500  4 Ge 2.52
As11 0.5000 0.0000 0.0000  6 Ge 2.71
As12 0.5000 0.0000 0.5000  6 Ge 2.71
As13 0.5000 0.5000 0.0000  6 Ge 2.71
As14 0.5000 0.5000 0.5000  6 Ge 2.71
As15 0.6250 0.3750 0.2500  4 Ge 2.52
As16 0.6250 0.7500 0.3750  4 Ge 2.52
As17 0.7500 0.3750 0.6250  4 Ge 2.52
As18 0.7500 0.8750 0.1250  4 Ge 2.52
As19 0.8750 0.1250 0.7500  4 Ge 2.52
As20 0.8750 0.2500 0.1250  4 Ge 2.52



Record 5
Computed, not measured: an optimized crystal structure of PmGeAs2 at the PBE-GGA level of DFT.

For the density of states at the Fermi level, the calculation gives 1.77 states/eV/f.u. The formation energy is -50.3 kJ/mol of atoms.

Cell lengths 4.6280, 4.6280, 4.0460 Å; angles 90.00, 90.00, 90.00 degrees
Closest atoms and distances in Å follow each position.
Atoms (fractional coordinates):
Pm1 0.0000 0.0000 0.0000  8 As 3.07, 4 Ge 3.27
Ge1 0.5000 0.5000 0.0000  8 As 3.07, 4 Pm 3.27
As1 0.0000 0.5000 0.5000  4 Ge 3.07, 4 Pm 3.07, 4 As 3.27
As2 0.5000 0.0000 0.5000  4 Ge 3.07, 4 Pm 3.07, 4 As 3.27



Record 6
Computed, not measured: an optimized crystal structure of Pm3GeAs at the PBE-GGA level of DFT.

For the density of states at the Fermi level, the calculation gives 3.68 states/eV/f.u. The formation energy is -82.7 kJ/mol of atoms.

Cell lengths 6.1817, 6.1817, 11.4445 Å; angles 90.00, 90.00, 139.72 degrees
Closest atoms and distances in Å follow each position.
Atoms (fractional coordinates):
Pm1 0.0618 0.9382 0.7500  2 Ge 2.95, 2 As 3.07
Pm2 0.3453 0.6547 0.5821  2 Ge 2.94, 2 As 3.06
Pm3 0.3453 0.6547 0.9179  2 Ge 2.94, 2 As 3.06
Pm4 0.6547 0.3453 0.0821  2 Ge 2.94, 2 As 3.06
Pm5 0.6547 0.3453 0.4179  2 Ge 2.94, 2 As 3.06
Pm6 0.9382 0.0618 0.2500  2 Ge 2.95, 2 As 3.07
Ge1 0.0000 0.0000 0.0000  6 Pm 2.94-2.95
Ge2 0.0000 0.0000 0.5000  6 Pm 2.94-2.95
As1 0.2474 0.7526 0.2500  6 Pm 3.06-3.07
As2 0.7526 0.2474 0.7500  6 Pm 3.06-3.07